[1]
Here is crystalline ScTaAu at its relaxed geometry from Alexandria via LeMat-Bulk. Energies are from GGA-PBE.

POSCAR file:
```
ScTaAu
1.0
-1.551 1.551 6.007
1.551 -1.551 6.007
1.551 1.551 -6.007
Sc Ta Au
1 1 1
direct
0.000 0.000 0.000
0.327 0.327 0.000
0.668 0.668 0.000
```

Values from the calculation:
Energy relative to the elements, eV/atom: -0.22
Volume, A^3/atom: 19.28

=====

[2]
Here is crystalline TbSmCd3 at its relaxed geometry from Alexandria via LeMat-Bulk. Energies are from GGA-PBE.

POSCAR file:
```
TbSmCd3
1.0
5.387 0.000 0.000
0.000 5.412 0.000
-2.692 0.000 8.933
Tb Sm Cd
2 2 6
direct
0.142 0.250 0.294
0.858 0.750 0.706
0.346 0.250 0.703
0.654 0.750 0.297
0.054 0.750 0.086
0.257 0.750 0.500
0.467 0.750 0.912
0.533 0.250 0.088
0.743 0.250 0.500
0.946 0.250 0.914
```

Values from the calculation:
Energy relative to the elements, eV/atom: -0.27
Volume, A^3/atom: 26.05

=====

The lowest volume belongs to which entry?
ScTaAu